(1)
Here is a geometry-optimized Sm3Er2Tm2 structure from Alexandria. Energies are from PBE.

abc: 8.749 8.749 8.769
angles: 119.52 119.52 22.92
Sites, in units of the cell vectors:
1 Sm 0.000 0.000 0.000
2 Sm 0.273 0.273 0.849
3 Sm 0.727 0.727 0.151
4 Er 0.432 0.432 0.280
5 Er 0.568 0.568 0.720
6 Tm 0.347 0.347 0.557
7 Tm 0.653 0.653 0.443

Its energy relative to the lowest polymorph listed for this composition is 70 meV/atom. Its space group is C2/m. The spin magnetization comes out at 0.015 μB/cell. As for the energy relative to the elements: 0.128 eV/atom.

---

(2)
Here is a geometry-optimized SmEr3Tm5 structure from Alexandria. Energies are from PBE.

abc: 9.208 9.208 12.044
angles: 125.86 125.86 50.57
Sites, in units of the cell vectors:
1 Sm 0.236 0.236 0.130
2 Sm 0.764 0.764 0.870
3 Er 0.000 0.000 0.000
4 Er 0.170 0.170 0.339
5 Er 0.378 0.378 0.684
6 Er 0.500 0.500 0.500
7 Er 0.622 0.622 0.316
8 Er 0.830 0.830 0.661
9 Tm 0.121 0.121 0.565
10 Tm 0.142 0.728 0.219
11 Tm 0.272 0.858 0.781
12 Tm 0.298 0.298 0.927
13 Tm 0.322 0.678 0.000
14 Tm 0.678 0.322 0.000
15 Tm 0.702 0.702 0.073
16 Tm 0.728 0.142 0.219
17 Tm 0.858 0.272 0.781
18 Tm 0.879 0.879 0.435

Its energy relative to the lowest polymorph listed for this composition is 198 meV/atom. Its space group is C2/m. The spin magnetization comes out at 0.001 μB/cell. As for the energy relative to the elements: 0.434 eV/atom.

---

(3)
Here is a geometry-optimized SmEr4Tm structure from Alexandria. Energies are from PBE.

abc: 11.815 11.815 11.815
angles: 152.51 40.87 150.36
Sites, in units of the cell vectors:
1 Sm 0.000 0.000 0.000
2 Sm 0.500 0.000 0.500
3 Er 0.092 0.923 0.169
4 Er 0.158 0.567 0.591
5 Er 0.254 0.923 0.331
6 Er 0.475 0.567 0.909
7 Er 0.525 0.433 0.091
8 Er 0.746 0.077 0.669
9 Er 0.842 0.433 0.409
10 Er 0.908 0.077 0.831
11 Tm 0.328 0.578 0.750
12 Tm 0.672 0.422 0.250

Its energy relative to the lowest polymorph listed for this composition is 0 meV/atom. Its space group is Imma. The spin magnetization comes out at 0.000 μB/cell. As for the energy relative to the elements: 0.056 eV/atom.

---

(4)
Here is a geometry-optimized SmEr3Tm6 structure from Alexandria. Energies are from PBE.

abc: 10.818 10.818 6.113
angles: 90.00 90.00 119.71
Sites, in units of the cell vectors:
1 Sm 0.209 0.791 0.500
2 Sm 0.791 0.209 0.000
3 Er 0.066 0.282 0.704
4 Er 0.282 0.066 0.204
5 Er 0.391 0.609 0.589
6 Er 0.609 0.391 0.089
7 Er 0.718 0.934 0.704
8 Er 0.934 0.718 0.204
9 Tm 0.035 0.457 0.299
10 Tm 0.048 0.952 0.743
11 Tm 0.288 0.382 0.134
12 Tm 0.288 0.712 0.020
13 Tm 0.382 0.288 0.634
14 Tm 0.457 0.035 0.799
15 Tm 0.543 0.965 0.299
16 Tm 0.618 0.712 0.134
17 Tm 0.712 0.288 0.520
18 Tm 0.712 0.618 0.634
19 Tm 0.952 0.048 0.243
20 Tm 0.965 0.543 0.799

Its energy relative to the lowest polymorph listed for this composition is 0 meV/atom. Its space group is Cmc2_1. The spin magnetization comes out at 0.019 μB/cell. As for the energy relative to the elements: 0.149 eV/atom.

---

(5)
Here is a geometry-optimized Sm9Er11Tm4 structure from Alexandria. Energies are from PBE.

abc: 15.096 15.096 3.670
angles: 90.00 90.00 113.22
Sites, in units of the cell vectors:
1 Sm 0.000 0.000 0.000
2 Sm 0.130 0.664 0.000
3 Sm 0.286 0.433 0.000
4 Sm 0.336 0.870 0.000
5 Sm 0.433 0.286 0.000
6 Sm 0.567 0.714 0.000
7 Sm 0.664 0.130 0.000
8 Sm 0.714 0.567 0.000
9 Sm 0.870 0.336 0.000
10 Er 0.094 0.455 0.500
11 Er 0.132 0.868 0.500
12 Er 0.209 0.209 0.500
13 Er 0.339 0.661 0.500
14 Er 0.455 0.094 0.500
15 Er 0.500 0.500 0.500
16 Er 0.545 0.906 0.500
17 Er 0.661 0.339 0.500
18 Er 0.791 0.791 0.500
19 Er 0.868 0.132 0.500
20 Er 0.906 0.545 0.500
21 Tm 0.055 0.256 0.000
22 Tm 0.256 0.055 0.000
23 Tm 0.744 0.945 0.000
24 Tm 0.945 0.744 0.000

Its space group is Cmmm. The spin magnetization comes out at 0.000 μB/cell. As for the energy relative to the elements: 0.049 eV/atom.

---

(6)
Here is a geometry-optimized Sm10Er6Tm structure from Alexandria. Energies are from PBE.

abc: 9.726 9.726 6.837
angles: 90.00 90.00 120.00
Sites, in units of the cell vectors:
1 Sm 0.000 0.274 0.315
2 Sm 0.000 0.726 0.685
3 Sm 0.274 0.000 0.315
4 Sm 0.274 0.274 0.685
5 Sm 0.333 0.667 0.000
6 Sm 0.333 0.667 0.500
7 Sm 0.667 0.333 0.000
8 Sm 0.667 0.333 0.500
9 Sm 0.726 0.000 0.685
10 Sm 0.726 0.726 0.315
11 Er 0.000 0.372 0.808
12 Er 0.000 0.628 0.192
13 Er 0.372 0.000 0.808
14 Er 0.372 0.372 0.192
15 Er 0.628 0.000 0.192
16 Er 0.628 0.628 0.808
17 Tm 0.000 0.000 0.000

Its space group is P-31m. The spin magnetization comes out at 0.000 μB/cell. As for the energy relative to the elements: 0.127 eV/atom.

---

> Among the records above, which one has the lowest energy relative to the elements?

Sm9Er11Tm4